1.
The following is a PBE calculation of crystalline CaAlAs at its relaxed geometry, from the Alexandria database. Values from VASP.

Geometry as Quantum ESPRESSO input:
```
&SYSTEM
  ibrav = 0, nat = 3, ntyp = 3
/
ATOMIC_SPECIES
Ca 40.08 Ca.upf
Al 26.98 Al.upf
As 74.92 As.upf
ATOMIC_POSITIONS crystal
Ca 0.000 0.000 0.000
Al 0.667 0.333 0.441
As 0.333 0.667 0.649
CELL_PARAMETERS angstrom
3.996 0.000 0.000
-1.998 3.461 0.000
0.000 0.000 5.410
```



2.
The following is a PBE calculation of crystalline CaAlAs at its relaxed geometry, from the Alexandria database. Values from VASP.

Geometry as Quantum ESPRESSO input:
```
&SYSTEM
  ibrav = 0, nat = 6, ntyp = 3
/
ATOMIC_SPECIES
Ca 40.08 Ca.upf
Al 26.98 Al.upf
As 74.92 As.upf
ATOMIC_POSITIONS crystal
Ca 0.000 0.000 0.000
Ca 0.500 0.186 0.186
Al 0.000 0.774 0.774
Al 0.500 0.856 0.856
As 0.000 0.638 0.638
As 0.500 0.446 0.446
CELL_PARAMETERS angstrom
4.437 0.000 0.000
0.000 1.874 9.043
0.000 -1.874 9.043
```



3.
The following is a PBE calculation of crystalline Ca3AlAs at its relaxed geometry, from the Alexandria database. Values from VASP.

Geometry as Quantum ESPRESSO input:
```
&SYSTEM
  ibrav = 0, nat = 5, ntyp = 3
/
ATOMIC_SPECIES
Ca 40.08 Ca.upf
Al 26.98 Al.upf
As 74.92 As.upf
ATOMIC_POSITIONS crystal
Ca 0.000 0.000 0.500
Ca 0.000 0.500 0.000
Ca 0.500 0.000 0.000
Al 0.500 0.500 0.500
As 0.000 0.000 0.000
CELL_PARAMETERS angstrom
5.560 0.000 0.000
0.000 5.560 0.000
0.000 0.000 5.560
```



4.
The following is a PBE calculation of crystalline CaAlAs at its relaxed geometry, from the Alexandria database. Values from VASP.

Geometry as Quantum ESPRESSO input:
```
&SYSTEM
  ibrav = 0, nat = 6, ntyp = 3
/
ATOMIC_SPECIES
Ca 40.08 Ca.upf
Al 26.98 Al.upf
As 74.92 As.upf
ATOMIC_POSITIONS crystal
Ca 0.000 0.000 0.000
Ca 0.500 0.500 0.327
Al 0.000 0.000 0.598
Al 0.000 0.500 0.750
As 0.000 0.000 0.326
As 0.500 0.500 0.945
CELL_PARAMETERS angstrom
3.920 0.000 0.000
0.000 4.530 0.000
0.000 0.000 8.747
```



5.
The following is a PBE calculation of crystalline CaAlAs at its relaxed geometry, from the Alexandria database. Values from VASP.

Geometry as Quantum ESPRESSO input:
```
&SYSTEM
  ibrav = 0, nat = 3, ntyp = 3
/
ATOMIC_SPECIES
Ca 40.08 Ca.upf
Al 26.98 Al.upf
As 74.92 As.upf
ATOMIC_POSITIONS crystal
Ca 0.000 0.000 0.000
Al 0.667 0.333 0.500
As 0.333 0.667 0.500
CELL_PARAMETERS angstrom
4.416 0.000 0.000
-2.208 3.824 0.000
0.000 0.000 4.116
```



6.
The following is a PBE calculation of crystalline CaAlAs at its relaxed geometry, from the Alexandria database. Values from VASP.

Geometry as Quantum ESPRESSO input:
```
&SYSTEM
  ibrav = 0, nat = 6, ntyp = 3
/
ATOMIC_SPECIES
Ca 40.08 Ca.upf
Al 26.98 Al.upf
As 74.92 As.upf
ATOMIC_POSITIONS crystal
Ca 0.160 0.160 0.248
Ca 0.840 0.840 0.752
Al 0.454 0.454 0.278
Al 0.546 0.546 0.722
As 0.162 0.162 0.750
As 0.838 0.838 0.250
CELL_PARAMETERS angstrom
6.248 -2.028 0.000
6.248 2.028 0.000
-0.086 0.000 5.845
```



7.
The following is a PBE calculation of crystalline Ca2AlAs2 at its relaxed geometry, from the Alexandria database. Values from VASP.

Geometry as Quantum ESPRESSO input:
```
&SYSTEM
  ibrav = 0, nat = 10, ntyp = 3
/
ATOMIC_SPECIES
Ca 40.08 Ca.upf
Al 26.98 Al.upf
As 74.92 As.upf
ATOMIC_POSITIONS crystal
Ca 0.136 0.364 0.000
Ca 0.364 0.864 0.000
Ca 0.636 0.136 0.000
Ca 0.864 0.636 0.000
Al 0.000 0.000 0.000
Al 0.500 0.500 0.000
As 0.166 0.666 0.500
As 0.334 0.166 0.500
As 0.666 0.834 0.500
As 0.834 0.334 0.500
CELL_PARAMETERS angstrom
8.508 0.000 0.000
0.000 8.508 0.000
0.000 0.000 3.408
```



8.
The following is a PBE calculation of crystalline CaAlAs at its relaxed geometry, from the Alexandria database. Values from VASP.

Geometry as Quantum ESPRESSO input:
```
&SYSTEM
  ibrav = 0, nat = 12, ntyp = 3
/
ATOMIC_SPECIES
Ca 40.08 Ca.upf
Al 26.98 Al.upf
As 74.92 As.upf
ATOMIC_POSITIONS crystal
Ca 0.038 0.038 0.712
Ca 0.288 0.288 0.962
Ca 0.712 0.712 0.038
Ca 0.962 0.962 0.288
Al 0.000 0.500 0.500
Al 0.500 0.000 0.500
Al 0.500 0.500 0.000
Al 0.500 0.500 0.500
As 0.105 0.645 0.645
As 0.355 0.895 0.895
As 0.645 0.105 0.105
As 0.895 0.355 0.355
CELL_PARAMETERS angstrom
0.000 5.331 6.771
4.415 0.000 6.771
4.415 5.331 0.000
```



9.
The following is a PBE calculation of crystalline Ca2Al2As at its relaxed geometry, from the Alexandria database. Values from VASP.

Geometry as Quantum ESPRESSO input:
```
&SYSTEM
  ibrav = 0, nat = 10, ntyp = 3
/
ATOMIC_SPECIES
Ca 40.08 Ca.upf
Al 26.98 Al.upf
As 74.92 As.upf
ATOMIC_POSITIONS crystal
Ca 0.171 0.329 0.000
Ca 0.329 0.829 0.000
Ca 0.671 0.171 0.000
Ca 0.829 0.671 0.000
Al 0.130 0.630 0.500
Al 0.370 0.130 0.500
Al 0.630 0.870 0.500
Al 0.870 0.370 0.500
As 0.000 0.000 0.500
As 0.500 0.500 0.500
CELL_PARAMETERS angstrom
7.139 0.000 0.000
0.000 7.139 0.000
0.000 0.000 4.786
```



10.
The following is a PBE calculation of crystalline Ca2AlAs2 at its relaxed geometry, from the Alexandria database. Values from VASP.

Geometry as Quantum ESPRESSO input:
```
&SYSTEM
  ibrav = 0, nat = 10, ntyp = 3
/
ATOMIC_SPECIES
Ca 40.08 Ca.upf
Al 26.98 Al.upf
As 74.92 As.upf
ATOMIC_POSITIONS crystal
Ca 0.157 0.343 0.000
Ca 0.343 0.843 0.000
Ca 0.657 0.157 0.000
Ca 0.843 0.657 0.000
Al 0.000 0.000 0.500
Al 0.500 0.500 0.500
As 0.154 0.654 0.500
As 0.346 0.154 0.500
As 0.654 0.846 0.500
As 0.846 0.346 0.500
CELL_PARAMETERS angstrom
7.383 0.000 0.000
0.000 7.383 0.000
0.000 0.000 4.218
```



Formation energy from the elements values (in eV/atom) by entry order: -0.6140 -0.6281 -0.3948 -0.6450 -0.5301 -0.6849 -0.4844 -0.3445 -0.3248 -0.7423.